#P
The following is a PBE calculation of ScTlBr after structural relaxation, from Alexandria.

```
ScTlBr
1.0
4.821 0.000 0.000
-2.411 4.175 0.000
0.000 0.000 3.830
Br Tl Sc
1 1 1
Direct
0.000 0.000 0.167
0.333 0.667 0.667
0.667 0.333 0.167
```

- V: 77.1 Å³ per cell
- DOS at the Fermi energy: 1.6 states/eV per cell
- Density: 7.1 g/cm3
- Symmetry: P-6m2, No. 187


#Q
The following is a PBE calculation of ScTlBr after structural relaxation, from Alexandria.

```
ScTlBr
1.0
-1.562 -1.030 4.600
-4.110 -2.703 0.680
0.337 -4.633 1.758
Sc Br Tl
1 1 1
Direct
0.750 0.750 0.750
0.500 0.500 0.500
0.000 0.000 0.000
```

- V: 86.6 Å³ per cell
- DOS at the Fermi energy: 5.7 states/eV per cell
- Density: 6.3 g/cm3
- Symmetry: F-43m, No. 216


#R
The following is a PBE calculation of ScTlBr after structural relaxation, from Alexandria.

```
ScTlBr
1.0
-1.168 1.145 -3.112
-13.552 -5.457 3.080
-1.634 5.557 2.658
Tl Sc Br
4 4 4
Direct
0.500 0.966 0.742
0.500 0.034 0.242
0.000 0.466 0.742
0.000 0.534 0.242
0.000 0.875 0.062
0.500 0.625 0.562
0.500 0.375 0.062
0.000 0.125 0.562
0.000 0.278 0.297
0.500 0.222 0.797
0.000 0.722 0.797
0.500 0.778 0.297
```

- V: 334.5 Å³ per cell
- DOS at the Fermi energy: 9.0 states/eV per cell
- Density: 6.5 g/cm3
- Symmetry: Cmc2_1, No. 36


Name the least stable of them. #Q.


#P
The following is a PBE calculation of ScTl3Br after structural relaxation, from Alexandria.

```
ScTl3Br
1.0
5.837 0.000 0.000
0.000 5.837 0.000
0.000 0.000 5.837
Tl Br Sc
3 1 1
Direct
0.000 0.500 0.000
0.500 0.000 0.000
0.000 0.000 0.500
0.500 0.500 0.500
0.000 0.000 0.000
```

- V: 198.9 Å³ per cell
- DOS at the Fermi energy: 4.1 states/eV per cell
- Density: 6.2 g/cm3
- Symmetry: Pm-3m, No. 221


#Q
The following is a PBE calculation of ScTl3Br after structural relaxation, from Alexandria.

```
ScTl3Br
1.0
5.889 0.000 0.000
0.000 5.889 0.000
0.000 0.000 5.889
Br Sc Tl
1 1 3
Direct
0.000 0.000 0.000
0.500 0.500 0.500
0.000 0.500 0.000
0.000 0.000 0.500
0.500 0.000 0.000
```

- V: 204.2 Å³ per cell
- DOS at the Fermi energy: 6.4 states/eV per cell
- Density: 6.0 g/cm3
- Symmetry: Pm-3m, No. 221


Name the least stable of them. #Q.


#P
The following is a PBE calculation of ScTlBr4 after structural relaxation, from Alexandria.

```
ScTlBr4
1.0
2.934 -1.194 5.576
-3.428 -1.840 5.098
0.449 -6.021 2.162
Br Tl Sc
4 1 1
Direct
0.873 0.376 0.376
0.376 0.376 0.873
0.376 0.873 0.376
0.376 0.376 0.376
0.000 0.000 0.000
0.750 0.750 0.750
```

- V: 186.5 Å³ per cell
- DOS at the Fermi energy: 10.7 states/eV per cell
- Density: 5.1 g/cm3
- Symmetry: F-43m, No. 216


#Q
The following is a PBE calculation of ScTlBr4 after structural relaxation, from Alexandria.

```
ScTlBr4
1.0
-1.011 0.874 -6.631
-7.308 0.675 1.204
3.369 7.203 3.886
Tl Br Sc
2 8 2
Direct
0.212 0.250 0.000
0.788 0.750 0.000
0.868 0.832 0.614
0.703 0.451 0.200
0.254 0.668 0.386
0.498 0.951 0.200
0.746 0.332 0.614
0.502 0.049 0.800
0.297 0.549 0.800
0.132 0.168 0.386
0.000 0.500 0.500
0.500 0.000 0.500
```

- V: 398.6 Å³ per cell
- DOS at the Fermi energy: 0.0 states/eV per cell
- Density: 4.7 g/cm3
- Symmetry: C2/c, No. 15


#R
The following is a PBE calculation of ScTlBr4 after structural relaxation, from Alexandria.

```
ScTlBr4
1.0
-2.243 -3.229 0.951
0.168 0.361 -7.017
6.862 -4.159 2.053
Br Tl Sc
4 1 1
Direct
0.123 0.245 0.302
0.615 0.228 0.917
0.385 0.771 0.083
0.877 0.755 0.698
0.500 0.000 0.500
0.000 0.000 0.000
```

- V: 217.4 Å³ per cell
- DOS at the Fermi energy: 0.0 states/eV per cell
- Density: 4.3 g/cm3
- Symmetry: P-1, No. 2


Name the least stable of them. #P.


#P
The following is a PBE calculation of TmScBr6 after structural relaxation, from Alexandria.

```
TmScBr6
1.0
6.881 0.008 0.009
3.432 5.963 0.012
3.430 1.982 6.195
Sc Br Tm
1 6 1
Direct
0.000 0.000 0.000
0.757 0.092 0.755
0.396 0.757 0.755
0.092 0.396 0.755
0.604 0.243 0.245
0.243 0.908 0.245
0.908 0.604 0.245
0.500 0.500 0.500
```

- V: 253.8 Å³ per cell
- DOS at the Fermi energy: 0.0 states/eV per cell
- Density: 4.5 g/cm3
- Symmetry: R-3, No. 148


#Q
The following is a PBE calculation of TmScBr6 after structural relaxation, from Alexandria.

```
TmScBr6
1.0
-4.496 3.210 3.815
-5.205 -4.134 0.949
0.350 -4.512 6.011
Br Sc Tm
6 1 1
Direct
0.755 0.754 0.000
0.758 0.102 0.278
0.758 0.380 0.722
0.242 0.898 0.722
0.242 0.620 0.278
0.245 0.246 0.000
0.000 0.000 0.000
0.500 0.500 0.000
```

- V: 289.1 Å³ per cell
- DOS at the Fermi energy: 0.0 states/eV per cell
- Density: 4.0 g/cm3
- Symmetry: C2/m, No. 12


Name the least stable of them. #P.


#P
The following is a PBE calculation of ScVBr2 after structural relaxation, from Alexandria.

```
ScVBr2
1.0
2.113 0.000 8.793
-1.056 1.830 8.793
-1.056 -1.830 8.793
Sc Br V
1 2 1
Direct
0.000 0.000 0.000
0.107 0.107 0.107
0.893 0.893 0.893
0.500 0.500 0.500
```

- V: 102.0 Å³ per cell
- DOS at the Fermi energy: 3.9 states/eV per cell
- Density: 4.2 g/cm3
- Symmetry: R-3m, No. 166


#Q
The following is a PBE calculation of ScVBr2 after structural relaxation, from Alexandria.

```
ScVBr2
1.0
-1.489 -4.455 0.875
-4.095 -0.732 2.351
-3.802 -1.745 -2.309
V Br Sc
1 2 1
Direct
0.500 0.500 0.500
0.750 0.750 0.750
0.250 0.250 0.250
0.000 0.000 0.000
```

- V: 77.1 Å³ per cell
- DOS at the Fermi energy: 5.1 states/eV per cell
- Density: 5.5 g/cm3
- Symmetry: Fm-3m, No. 225


Name the least stable of them. #Q.


#P
The following is a PBE calculation of ScV3Br after structural relaxation, from Alexandria.

```
ScV3Br
1.0
-3.291 2.965 0.901
0.475 -0.816 4.421
3.062 3.313 0.282
V Sc Br
3 1 1
Direct
0.500 0.000 0.000
0.000 0.500 0.000
0.000 0.000 0.500
0.500 0.500 0.500
0.000 0.000 0.000
```

- V: 92.4 Å³ per cell
- DOS at the Fermi energy: 6.1 states/eV per cell
- Density: 5.0 g/cm3
- Symmetry: Pm-3m, No. 221


#Q
The following is a PBE calculation of ScV3Br after structural relaxation, from Alexandria.

```
ScV3Br
1.0
-2.951 -3.485 1.596
2.057 -3.139 -3.052
3.234 -1.183 3.397
V Sc Br
3 1 1
Direct
0.000 0.500 0.000
0.500 0.000 0.000
0.000 0.000 0.500
0.000 0.000 0.000
0.500 0.500 0.500
```

- V: 113.2 Å³ per cell
- DOS at the Fermi energy: 8.8 states/eV per cell
- Density: 4.1 g/cm3
- Symmetry: Pm-3m, No. 221


Name the least stable of them. #Q.


#P
The following is a PBE calculation of ScW2Br after structural relaxation, from Alexandria.

```
ScW2Br
1.0
-0.909 -2.046 2.241
3.504 -2.509 -0.870
5.644 0.594 2.832
Br W Sc
1 2 1
Direct
0.500 0.500 0.500
0.500 0.500 0.000
0.000 0.000 0.000
0.000 0.000 0.500
```

- V: 72.7 Å³ per cell
- DOS at the Fermi energy: 3.8 states/eV per cell
- Density: 11.2 g/cm3
- Symmetry: P2/m, No. 10


#Q
The following is a PBE calculation of ScW2Br after structural relaxation, from Alexandria.

```
ScW2Br
1.0
-3.789 1.042 8.352
-0.697 0.606 9.185
-1.745 3.545 8.343
W Sc Br
2 1 1
Direct
0.997 0.997 0.997
0.266 0.266 0.266
0.749 0.749 0.749
0.488 0.488 0.488
```

- V: 81.8 Å³ per cell
- DOS at the Fermi energy: 3.3 states/eV per cell
- Density: 10.0 g/cm3
- Symmetry: R3m, No. 160


Name the least stable of them. #P.


#P
The following is a PBE calculation of Sc3WBr after structural relaxation, from Alexandria.

```
Sc3WBr
1.0
5.188 0.000 0.000
0.000 5.188 0.000
0.000 0.000 5.188
Br Sc W
1 3 1
Direct
0.500 0.500 0.500
0.000 0.000 0.500
0.000 0.500 0.000
0.500 0.000 0.000
0.000 0.000 0.000
```

- V: 139.6 Å³ per cell
- DOS at the Fermi energy: 3.8 states/eV per cell
- Density: 4.7 g/cm3
- Symmetry: Pm-3m, No. 221


#Q
The following is a PBE calculation of Sc3WBr after structural relaxation, from Alexandria.

```
Sc3WBr
1.0
-1.740 -3.781 2.489
4.359 -0.680 2.014
-1.221 2.960 3.642
W Br Sc
1 1 3
Direct
0.500 0.500 0.500
0.000 0.000 0.000
0.000 0.500 0.000
0.500 0.000 0.000
0.000 0.000 0.500
```

- V: 114.0 Å³ per cell
- DOS at the Fermi energy: 3.0 states/eV per cell
- Density: 5.8 g/cm3
- Symmetry: Pm-3m, No. 221


Name the least stable of them. #Q.


#P
The following is a PBE calculation of ScWBr3 after structural relaxation, from Alexandria.

```
ScWBr3
1.0
-1.359 -4.994 0.189
1.670 -0.638 -4.861
4.711 -1.214 1.777
Br Sc W
3 1 1
Direct
0.500 0.000 0.000
0.000 0.000 0.500
0.000 0.500 0.000
0.500 0.500 0.500
0.000 0.000 0.000
```

- V: 138.9 Å³ per cell
- DOS at the Fermi energy: 10.5 states/eV per cell
- Density: 5.6 g/cm3
- Symmetry: Pm-3m, No. 221


#Q
The following is a PBE calculation of ScWBr3 after structural relaxation, from Alexandria.

```
ScWBr3
1.0
5.329 0.000 0.000
0.000 5.329 0.000
0.000 0.000 5.329
W Br Sc
1 3 1
Direct
0.500 0.500 0.500
0.000 0.500 0.000
0.500 0.000 0.000
0.000 0.000 0.500
0.000 0.000 0.000
```

- V: 151.4 Å³ per cell
- DOS at the Fermi energy: 12.5 states/eV per cell
- Density: 5.1 g/cm3
- Symmetry: Pm-3m, No. 221


Name the least stable of them. #P.


#P
The following is a PBE calculation of YScBr2 after structural relaxation, from Alexandria.

```
YScBr2
1.0
3.572 0.617 0.000
-0.620 3.571 0.000
0.000 0.000 8.866
Br Y Sc
2 1 1
Direct
0.500 0.500 0.339
0.000 0.000 0.932
0.500 0.500 0.742
0.000 0.000 0.488
```

- V: 116.5 Å³ per cell
- DOS at the Fermi energy: 0.7 states/eV per cell
- Density: 4.2 g/cm3
- Symmetry: P4mm, No. 99


#Q
The following is a PBE calculation of YScBr2 after structural relaxation, from Alexandria.

```
YScBr2
1.0
-5.282 0.049 0.802
-4.290 -3.142 -0.517
0.366 -2.168 5.522
Y Br Sc
1 2 1
Direct
0.250 0.250 0.250
0.956 0.956 0.015
0.544 0.544 0.485
0.750 0.750 0.750
```

- V: 107.1 Å³ per cell
- DOS at the Fermi energy: 2.8 states/eV per cell
- Density: 4.6 g/cm3
- Symmetry: C2/m, No. 12


#R
The following is a PBE calculation of YScBr2 after structural relaxation, from Alexandria.

```
YScBr2
1.0
-1.137 -5.204 1.001
2.057 -2.427 4.387
-3.242 -1.318 4.138
Sc Br Y
1 2 1
Direct
0.500 0.500 0.500
0.250 0.250 0.250
0.000 0.000 0.000
0.750 0.750 0.750
```

- V: 112.6 Å³ per cell
- DOS at the Fermi energy: 3.0 states/eV per cell
- Density: 4.3 g/cm3
- Symmetry: F-43m, No. 216


#S
The following is a PBE calculation of YScBr2 after structural relaxation, from Alexandria.

```
YScBr2
1.0
-2.806 -0.570 1.984
-3.305 -1.671 -5.156
1.338 -4.496 0.600
Sc Br Y
1 2 1
Direct
0.500 0.000 0.500
0.000 0.000 0.000
0.500 0.500 0.000
0.000 0.500 0.500
```

- V: 104.6 Å³ per cell
- DOS at the Fermi energy: 3.6 states/eV per cell
- Density: 4.7 g/cm3
- Symmetry: Pmmm, No. 47


Name the least stable of them. #R.


#P
The following is a PBE calculation of YScBr2 after structural relaxation, from Alexandria.

```
YScBr2
1.0
-0.240 -5.548 2.111
4.165 -2.972 -3.018
-1.086 4.290 3.963
Br Sc Y
2 1 1
Direct
0.511 0.511 0.000
0.989 0.989 0.000
0.750 0.250 0.500
0.250 0.750 0.500
```

- V: 104.0 Å³ per cell
- DOS at the Fermi energy: 3.2 states/eV per cell
- Density: 4.7 g/cm3
- Symmetry: Immm, No. 71


#Q
The following is a PBE calculation of YScBr2 after structural relaxation, from Alexandria.

```
YScBr2
1.0
3.636 -0.001 0.000
-1.973 3.053 0.000
0.000 0.000 9.413
Sc Br Y
1 2 1
Direct
0.500 0.500 0.250
0.000 0.000 0.489
0.000 0.000 0.011
0.500 0.500 0.750
```

- V: 104.5 Å³ per cell
- DOS at the Fermi energy: 3.3 states/eV per cell
- Density: 4.7 g/cm3
- Symmetry: Cmmm, No. 65


Name the least stable of them. #Q.


#P
The following is a PBE calculation of YSc2Br after structural relaxation, from Alexandria.

```
YSc2Br
1.0
5.516 0.000 0.000
0.000 5.516 0.000
0.000 0.000 3.431
Br Sc Y
1 2 1
Direct
0.000 0.500 0.500
0.000 0.000 0.000
0.500 0.500 0.000
0.500 0.000 0.500
```

- V: 104.4 Å³ per cell
- DOS at the Fermi energy: 4.5 states/eV per cell
- Density: 4.1 g/cm3
- Symmetry: P4/mmm, No. 123


#Q
The following is a PBE calculation of YSc2Br after structural relaxation, from Alexandria.

```
YSc2Br
1.0
-7.147 -3.261 -5.914
-4.497 -3.049 -8.195
-4.858 -5.898 -6.189
Y Br Sc
1 1 2
Direct
0.250 0.250 0.250
0.750 0.750 0.750
0.009 0.009 0.009
0.491 0.491 0.491
```

- V: 102.3 Å³ per cell
- DOS at the Fermi energy: 5.4 states/eV per cell
- Density: 4.2 g/cm3
- Symmetry: R-3m, No. 166


Name the least stable of them. #P.